This record from Alexandria describes crystalline Li6NCl4 at its relaxed geometry. The functional is PBE.

Results
calculated total energy	-161.75	eV/cell
total magnetic moment	4.00	μB per cell

abc: 11.7006 7.1082 12.1682
angles: 90.00 105.75 90.00
Space group Cc (No. 9)
One atom of each set of equivalent atoms:
Li: 0.0000 0.0608 0.0000 (multiplicity 4)
Li: 0.1414 0.1984 0.8248 (multiplicity 4)
Li: 0.1644 0.1895 0.5563 (multiplicity 4)
Li: 0.2624 0.2576 0.1939 (multiplicity 4)
Li: 0.4369 0.3661 0.7965 (multiplicity 4)
Li: 0.4432 0.0678 0.9550 (multiplicity 4)
N: 0.0105 0.1932 0.4505 (multiplicity 4)
Cl: 0.0884 0.0840 0.2034 (multiplicity 4)
Cl: 0.2338 0.4037 0.7078 (multiplicity 4)
Cl: 0.2649 0.1015 0.0145 (multiplicity 4)
Cl: 0.4467 0.2114 0.3492 (multiplicity 4)



This record from Alexandria describes crystalline AcPaFeN4 at its relaxed geometry. The functional is PBE.

Results
calculated total energy	-245.88	eV/cell
total magnetic moment	8.19	μB per cell

abc: 5.2728 12.9059 5.4450
angles: 90.00 90.00 90.00
Space group Cmcm (No. 63)
One atom of each set of equivalent atoms:
Ac: 0.0000 0.1035 0.2500 (multiplicity 4)
Pa: 0.0000 0.3841 0.2500 (multiplicity 4)
Fe: 0.0000 0.2389 0.7500 (multiplicity 4)
N: 0.0000 0.0920 0.7500 (multiplicity 4)
N: 0.0000 0.4513 0.7500 (multiplicity 4)
N: 0.2500 0.2500 0.0000 (multiplicity 8)



This record from Alexandria describes crystalline Pr3Zn4Rh4 at its relaxed geometry. The functional is PBE.

Results
total magnetic moment	0.00	μB per cell
DFT formation energy	-0.39	eV/atom

abc: 7.6735 7.6735 7.6735
angles: 90.00 90.00 90.00
Space group I-43m (No. 217)
One atom of each set of equivalent atoms:
Pr: 0.0000 0.0000 0.5000 (multiplicity 6)
Zn: 0.1204 0.1204 0.8796 (multiplicity 8)
Rh: 0.1989 0.1989 0.1989 (multiplicity 8)



This record from Alexandria describes crystalline Mg8Tl2Hg at its relaxed geometry. The functional is PBE.

Results
total magnetic moment	0.00	μB per cell
DFT formation energy	-0.05	eV/atom

abc: 4.7103 7.3984 8.3133
angles: 66.86 73.94 89.95
Space group P1 (No. 1)
One atom of each set of equivalent atoms:
Mg: 0.0000 0.0000 0.0000 (multiplicity 1)
Mg: 0.0649 0.4879 0.8647 (multiplicity 1)
Mg: 0.1983 0.9715 0.6013 (multiplicity 1)
Mg: 0.3626 0.8345 0.2756 (multiplicity 1)
Mg: 0.4337 0.2868 0.1291 (multiplicity 1)
Mg: 0.6253 0.2050 0.7499 (multiplicity 1)
Mg: 0.7112 0.6719 0.5751 (multiplicity 1)
Mg: 0.8739 0.5187 0.2502 (multiplicity 1)
Tl: 0.2382 0.4068 0.5216 (multiplicity 1)
Tl: 0.5363 0.7465 0.9272 (multiplicity 1)
Hg: 0.8352 0.0842 0.3292 (multiplicity 1)



This record from Alexandria describes crystalline TlNiC2N at its relaxed geometry. The functional is PBE.

Results
calculated total energy	-21.48	eV/cell
total magnetic moment	0.00	μB per cell

abc: 3.4840 3.4840 5.3164
angles: 90.00 90.00 90.00
Space group P4/mmm (No. 123)
One atom of each set of equivalent atoms:
Tl: 0.0000 0.0000 0.0000 (multiplicity 1)
Ni: 0.5000 0.5000 0.0000 (multiplicity 1)
C: 0.0000 0.5000 0.5000 (multiplicity 2)
N: 0.0000 0.0000 0.5000 (multiplicity 1)



This record from Alexandria describes crystalline NpAl3Ga4 at its relaxed geometry. The functional is PBE.

Results
total magnetic moment	8.16	μB per cell
energy above the lowest structure with this stoichiometry	0	meV per atom
DFT formation energy	-0.05	eV/atom

abc: 9.3154 6.6057 4.7567
angles: 90.00 90.00 90.00
Space group Pmma (No. 51)
One atom of each set of equivalent atoms:
Np: 0.0000 0.0000 0.0000 (multiplicity 2)
Al: 0.0000 0.5000 0.0000 (multiplicity 2)
Al: 0.2500 0.0000 0.4625 (multiplicity 2)
Al: 0.2500 0.5000 0.3876 (multiplicity 2)
Ga: 0.0000 0.2805 0.5000 (multiplicity 4)
Ga: 0.2500 0.2815 0.9071 (multiplicity 4)



This record from Alexandria describes crystalline TaTiW4 at its relaxed geometry. The functional is PBE.

Results
total magnetic moment	0.00	μB per cell
energy above the lowest structure with this stoichiometry	0	meV per atom
DFT formation energy	-0.10	eV/atom

abc: 4.4963 9.6898 4.5216
angles: 90.00 90.00 90.00
Space group Cmmm (No. 65)
One atom of each set of equivalent atoms:
Ta: 0.0000 0.0000 0.0000 (multiplicity 2)
Ti: 0.0000 0.5000 0.5000 (multiplicity 2)
W: 0.0000 0.1723 0.5000 (multiplicity 4)
W: 0.0000 0.3295 0.0000 (multiplicity 4)



This record from Alexandria describes crystalline MoOs3 at its relaxed geometry. The functional is PBE.

Results
total magnetic moment	0.00	μB per cell
DFT formation energy	0.45	eV/atom

abc: 4.9471 4.9471 4.9471
angles: 90.00 90.00 90.00
Space group Pm-3n (No. 223)
One atom of each set of equivalent atoms:
Mo: 0.0000 0.0000 0.0000 (multiplicity 2)
Os: 0.0000 0.2500 0.5000 (multiplicity 6)